# Zr2Mn

A relaxed structure of Zr2Mn (GGA-PBE, Alexandria via LeMat-Bulk).

Crystal system   orthorhombic
Density of states at the Fermi level   3.7 states/eV/f.u.
Total DFT energy (no corrections)   -104.36 eV per cell
Magnetic moment   3.75 μB/cell
V   19.23 A^3/atom
ΔE_f   0.06 eV per atom

Cell lengths 6.4679, 4.2753, 8.3447 Å; angles 90.00, 90.00, 90.00 degrees
Fractional positions:
Zr  0.0182  0.2500  0.1856
Zr  0.1619  0.2500  0.5668
Zr  0.3381  0.7500  0.0668
Zr  0.4818  0.7500  0.6856
Zr  0.5182  0.2500  0.3144
Zr  0.6619  0.2500  0.9332
Zr  0.8381  0.7500  0.4332
Zr  0.9818  0.7500  0.8144
Mn  0.2362  0.2500  0.8904
Mn  0.2638  0.7500  0.3904
Mn  0.7362  0.2500  0.6096
Mn  0.7638  0.7500  0.1096